Entry 1:
# PBE EuTm2Pd, optimized geometry
# symmetry = P4/mmm (123)
# DOS at the Fermi energy = 4.41 states/eV/cell
# volume = 27.79 Å³ per atom
# energy of formation from the pure elements = -0.402 eV per atom
data_EuTm2Pd
_symmetry_space_group_name_H-M 'P 1'
_symmetry_Int_Tables_number 1
_symmetry_space_group_name_Hall 'P 1'
_cell_length_a 3.5291
_cell_length_b 3.5291
_cell_length_c 8.9265
_cell_angle_alpha 90.00
_cell_angle_beta 90.00
_cell_angle_gamma 90.00
loop_
_atom_site_label
_atom_site_fract_x
_atom_site_fract_y
_atom_site_fract_z
_atom_site_occupancy
Eu1 0.0000 0.0000 0.0000 1
Tm1 0.5000 0.5000 0.3164 1
Tm2 0.5000 0.5000 0.6836 1
Pd1 0.0000 0.0000 0.5000 1


Entry 2:
# PBE Ca2ZnIr, optimized geometry
# symmetry = I-42d (122)
# DOS at the Fermi energy = 4.39 states/eV/cell
# volume = 24.72 Å³ per atom
# energy of formation from the pure elements = 0.409 eV per atom
data_Ca2ZnIr
_symmetry_space_group_name_H-M 'P 1'
_symmetry_Int_Tables_number 1
_symmetry_space_group_name_Hall 'P 1'
_cell_length_a 9.9840
_cell_length_b 9.9840
_cell_length_c 9.9840
_cell_angle_alpha 153.51
_cell_angle_beta 153.51
_cell_angle_gamma 37.82
loop_
_atom_site_label
_atom_site_fract_x
_atom_site_fract_y
_atom_site_fract_z
_atom_site_occupancy
Ca1 0.1076 0.6250 0.9826 1
Ca2 0.3750 0.3576 0.4826 1
Ca3 0.6424 0.1250 0.0174 1
Ca4 0.8750 0.8924 0.5174 1
Zn1 0.2500 0.7500 0.5000 1
Zn2 0.5000 0.5000 0.0000 1
Ir1 0.0000 0.0000 0.0000 1
Ir2 0.7500 0.2500 0.5000 1


Entry 3:
# PBE CsPr2AgS4, optimized geometry
# uncorrected formation energy = -1.572 eV per atom
# symmetry = Cmcm (63)
# DOS at the Fermi energy = 0.00 states/eV/cell
# volume = 28.14 Å³ per atom
data_CsPr2AgS4
_symmetry_space_group_name_H-M 'P 1'
_symmetry_Int_Tables_number 1
_symmetry_space_group_name_Hall 'P 1'
_cell_length_a 7.5405
_cell_length_b 7.5405
_cell_length_c 14.6554
_cell_angle_alpha 90.00
_cell_angle_beta 90.00
_cell_angle_gamma 147.29
loop_
_atom_site_label
_atom_site_fract_x
_atom_site_fract_y
_atom_site_fract_z
_atom_site_occupancy
Cs1 0.1113 0.8887 0.7500 1
Cs2 0.8887 0.1113 0.2500 1
Pr1 0.3676 0.6324 0.5630 1
Pr2 0.3676 0.6324 0.9370 1
Pr3 0.6324 0.3676 0.0630 1
Pr4 0.6324 0.3676 0.4370 1
Ag1 0.1653 0.8347 0.2500 1
Ag2 0.8347 0.1653 0.7500 1
S1 0.0000 0.0000 0.0000 1
S2 0.0000 0.0000 0.5000 1
S3 0.2579 0.7421 0.1015 1
S4 0.2579 0.7421 0.3985 1
S5 0.4302 0.5698 0.7500 1
S6 0.5698 0.4302 0.2500 1
S7 0.7421 0.2579 0.6015 1
S8 0.7421 0.2579 0.8985 1


Entry 4:
# PBE CaGd2Tc, optimized geometry
# symmetry = P4/mmm (123)
# DOS at the Fermi energy = 4.95 states/eV/cell
# volume = 28.86 Å³ per atom
# energy of formation from the pure elements = 0.012 eV per atom
data_CaGd2Tc
_symmetry_space_group_name_H-M 'P 1'
_symmetry_Int_Tables_number 1
_symmetry_space_group_name_Hall 'P 1'
_cell_length_a 3.5080
_cell_length_b 3.5080
_cell_length_c 9.3822
_cell_angle_alpha 90.00
_cell_angle_beta 90.00
_cell_angle_gamma 90.00
loop_
_atom_site_label
_atom_site_fract_x
_atom_site_fract_y
_atom_site_fract_z
_atom_site_occupancy
Ca1 0.0000 0.0000 0.0000 1
Gd1 0.5000 0.5000 0.3252 1
Gd2 0.5000 0.5000 0.6748 1
Tc1 0.0000 0.0000 0.5000 1


Entry 5:
# PBE MgSc5Ni6, optimized geometry
# symmetry = C2/m (12)
# DOS at the Fermi energy = 7.75 states/eV/cell
# volume = 15.65 Å³ per atom
# energy of formation from the pure elements = -0.459 eV per atom
data_MgSc5Ni6
_symmetry_space_group_name_H-M 'P 1'
_symmetry_Int_Tables_number 1
_symmetry_space_group_name_Hall 'P 1'
_cell_length_a 7.7153
_cell_length_b 7.7153
_cell_length_c 4.4617
_cell_angle_alpha 106.73
_cell_angle_beta 106.73
_cell_angle_gamma 120.07
loop_
_atom_site_label
_atom_site_fract_x
_atom_site_fract_y
_atom_site_fract_z
_atom_site_occupancy
Mg1 0.0000 0.0000 0.0000 1
Sc1 0.1603 0.8397 0.5000 1
Sc2 0.3314 0.6686 0.0000 1
Sc3 0.5000 0.5000 0.5000 1
Sc4 0.6686 0.3314 0.0000 1
Sc5 0.8397 0.1603 0.5000 1
Ni1 0.0858 0.4264 0.2557 1
Ni2 0.2640 0.2640 0.7639 1
Ni3 0.4264 0.0858 0.2557 1
Ni4 0.5736 0.9142 0.7443 1
Ni5 0.7360 0.7360 0.2361 1
Ni6 0.9142 0.5736 0.7443 1


Entry 6:
# PBE BaScP2, optimized geometry
# symmetry = I-4m2 (119)
# DOS at the Fermi energy = 1.89 states/eV/cell
# volume = 24.23 Å³ per atom
# energy of formation from the pure elements = -0.362 eV per atom
data_BaScP2
_symmetry_space_group_name_H-M 'P 1'
_symmetry_Int_Tables_number 1
_symmetry_space_group_name_Hall 'P 1'
_cell_length_a 6.1769
_cell_length_b 6.1769
_cell_length_c 6.1769
_cell_angle_alpha 139.89
_cell_angle_beta 139.89
_cell_angle_gamma 58.01
loop_
_atom_site_label
_atom_site_fract_x
_atom_site_fract_y
_atom_site_fract_z
_atom_site_occupancy
Ba1 0.0000 0.0000 0.0000 1
Sc1 0.7500 0.2500 0.5000 1
P1 0.2500 0.7500 0.5000 1
P2 0.5000 0.5000 0.0000 1


Entry 7:
# PBE FeSeBr2, optimized geometry
# uncorrected formation energy = 0.332 eV per atom
# symmetry = I-42d (122)
# DOS at the Fermi energy = 12.78 states/eV/cell
# volume = 33.65 Å³ per atom
data_FeSeBr2
_symmetry_space_group_name_H-M 'P 1'
_symmetry_Int_Tables_number 1
_symmetry_space_group_name_Hall 'P 1'
_cell_length_a 7.2020
_cell_length_b 7.2020
_cell_length_c 7.2020
_cell_angle_alpha 118.67
_cell_angle_beta 118.67
_cell_angle_gamma 92.32
loop_
_atom_site_label
_atom_site_fract_x
_atom_site_fract_y
_atom_site_fract_z
_atom_site_occupancy
Fe1 0.0000 0.0000 0.0000 1
Fe2 0.7500 0.2500 0.5000 1
Se1 0.2500 0.7500 0.5000 1
Se2 0.5000 0.5000 0.0000 1
Br1 0.0127 0.6250 0.8877 1
Br2 0.3750 0.2627 0.3877 1
Br3 0.7373 0.1250 0.1123 1
Br4 0.8750 0.9873 0.6123 1


Entry 8:
# PBE PdRh2I8, optimized geometry
# uncorrected formation energy = -0.056 eV per atom
# symmetry = C2/m (12)
# DOS at the Fermi energy = 4.74 states/eV/cell
# volume = 48.87 Å³ per atom
data_PdRh2I8
_symmetry_space_group_name_H-M 'P 1'
_symmetry_Int_Tables_number 1
_symmetry_space_group_name_Hall 'P 1'
_cell_length_a 7.7249
_cell_length_b 7.7249
_cell_length_c 10.8550
_cell_angle_alpha 113.28
_cell_angle_beta 113.28
_cell_angle_gamma 71.98
loop_
_atom_site_label
_atom_site_fract_x
_atom_site_fract_y
_atom_site_fract_z
_atom_site_occupancy
Pd1 0.0000 0.0000 0.0000 1
Rh1 0.1039 0.1039 0.4075 1
Rh2 0.8961 0.8961 0.5925 1
I1 0.1192 0.7400 0.7920 1
I2 0.1337 0.1337 0.6651 1
I3 0.2600 0.8808 0.2080 1
I4 0.3431 0.3431 0.5129 1
I5 0.6569 0.6569 0.4871 1
I6 0.7400 0.1192 0.7920 1
I7 0.8663 0.8663 0.3349 1
I8 0.8808 0.2600 0.2080 1


Entry 9:
# PBE AcGeBr, optimized geometry
# uncorrected formation energy = -1.208 eV per atom
# symmetry = Cmcm (63)
# DOS at the Fermi energy = 0.97 states/eV/cell
# volume = 28.87 Å³ per atom
data_AcGeBr
_symmetry_space_group_name_H-M 'P 1'
_symmetry_Int_Tables_number 1
_symmetry_space_group_name_Hall 'P 1'
_cell_length_a 8.4632
_cell_length_b 8.4632
_cell_length_c 4.4046
_cell_angle_alpha 90.00
_cell_angle_beta 90.00
_cell_angle_gamma 146.70
loop_
_atom_site_label
_atom_site_fract_x
_atom_site_fract_y
_atom_site_fract_z
_atom_site_occupancy
Ac1 0.1126 0.8874 0.7500 1
Ac2 0.8874 0.1126 0.2500 1
Ge1 0.4519 0.5481 0.7500 1
Ge2 0.5481 0.4519 0.2500 1
Br1 0.2596 0.7404 0.2500 1
Br2 0.7404 0.2596 0.7500 1


Entry 10:
# PBE HfBiO2, optimized geometry
# uncorrected formation energy = -1.179 eV per atom
# symmetry = R-3m (166)
# DOS at the Fermi energy = 2.83 states/eV/cell
# volume = 17.45 Å³ per atom
data_HfBiO2
_symmetry_space_group_name_H-M 'P 1'
_symmetry_Int_Tables_number 1
_symmetry_space_group_name_Hall 'P 1'
_cell_length_a 7.5285
_cell_length_b 7.5285
_cell_length_c 7.5285
_cell_angle_alpha 25.54
_cell_angle_beta 25.54
_cell_angle_gamma 25.54
loop_
_atom_site_label
_atom_site_fract_x
_atom_site_fract_y
_atom_site_fract_z
_atom_site_occupancy
Hf1 0.0000 0.0000 0.0000 1
Bi1 0.5000 0.5000 0.5000 1
O1 0.0911 0.0911 0.0911 1
O2 0.9089 0.9089 0.9089 1


Entry 11:
# PBE DyYCI, optimized geometry
# uncorrected formation energy = -0.745 eV per atom
# symmetry = R3m (160)
# DOS at the Fermi energy = 2.26 states/eV/cell
# volume = 22.87 Å³ per atom
data_DyYCI
_symmetry_space_group_name_H-M 'P 1'
_symmetry_Int_Tables_number 1
_symmetry_space_group_name_Hall 'P 1'
_cell_length_a 7.7445
_cell_length_b 7.7445
_cell_length_c 7.7445
_cell_angle_alpha 28.17
_cell_angle_beta 28.17
_cell_angle_gamma 28.17
loop_
_atom_site_label
_atom_site_fract_x
_atom_site_fract_y
_atom_site_fract_z
_atom_site_occupancy
Dy1 0.0000 0.0000 0.0000 1
Y1 0.2199 0.2199 0.2199 1
C1 0.6126 0.6126 0.6126 1
I1 0.4430 0.4430 0.4430 1


Entry 12:
# PBE La3Ge2Pd3, optimized geometry
# symmetry = Pnma (62)
# DOS at the Fermi energy = 21.16 states/eV/cell
# volume = 23.21 Å³ per atom
# energy of formation from the pure elements = -0.892 eV per atom
data_La3Ge2Pd3
_symmetry_space_group_name_H-M 'P 1'
_symmetry_Int_Tables_number 1
_symmetry_space_group_name_Hall 'P 1'
_cell_length_a 7.9921
_cell_length_b 15.6826
_cell_length_c 5.9269
_cell_angle_alpha 90.00
_cell_angle_beta 90.00
_cell_angle_gamma 90.00
loop_
_atom_site_label
_atom_site_fract_x
_atom_site_fract_y
_atom_site_fract_z
_atom_site_occupancy
La1 0.0281 0.1065 0.1474 1
La2 0.0281 0.3935 0.1474 1
La3 0.1565 0.2500 0.6366 1
La4 0.3435 0.7500 0.1366 1
La5 0.4719 0.6065 0.6474 1
La6 0.4719 0.8935 0.6474 1
La7 0.5281 0.1065 0.3526 1
La8 0.5281 0.3935 0.3526 1
La9 0.6565 0.2500 0.8634 1
La10 0.8435 0.7500 0.3634 1
La11 0.9719 0.6065 0.8526 1
La12 0.9719 0.8935 0.8526 1
Ge1 0.1266 0.6040 0.3495 1
Ge2 0.1266 0.8960 0.3495 1
Ge3 0.3734 0.1040 0.8495 1
Ge4 0.3734 0.3960 0.8495 1
Ge5 0.6266 0.6040 0.1505 1
Ge6 0.6266 0.8960 0.1505 1
Ge7 0.8734 0.1040 0.6505 1
Ge8 0.8734 0.3960 0.6505 1
Pd1 0.1659 0.0324 0.5965 1
Pd2 0.1659 0.4676 0.5965 1
Pd3 0.1971 0.7500 0.6180 1
Pd4 0.3029 0.2500 0.1180 1
Pd5 0.3341 0.5324 0.0965 1
Pd6 0.3341 0.9676 0.0965 1
Pd7 0.6659 0.0324 0.9035 1
Pd8 0.6659 0.4676 0.9035 1
Pd9 0.6971 0.7500 0.8820 1
Pd10 0.8029 0.2500 0.3820 1
Pd11 0.8341 0.5324 0.4035 1
Pd12 0.8341 0.9676 0.4035 1


Entry 13:
# PBE LaHf2BrF, optimized geometry
# uncorrected formation energy = 0.385 eV per atom
# symmetry = P4/mmm (123)
# DOS at the Fermi energy = 5.43 states/eV/cell
# volume = 31.66 Å³ per atom
data_LaHf2BrF
_symmetry_space_group_name_H-M 'P 1'
_symmetry_Int_Tables_number 1
_symmetry_space_group_name_Hall 'P 1'
_cell_length_a 5.9412
_cell_length_b 5.9412
_cell_length_c 4.4854
_cell_angle_alpha 90.00
_cell_angle_beta 90.00
_cell_angle_gamma 90.00
loop_
_atom_site_label
_atom_site_fract_x
_atom_site_fract_y
_atom_site_fract_z
_atom_site_occupancy
La1 0.0000 0.0000 0.0000 1
Hf1 0.0000 0.5000 0.0000 1
Hf2 0.5000 0.0000 0.0000 1
Br1 0.5000 0.5000 0.5000 1
F1 0.0000 0.0000 0.5000 1


Entry 14:
# PBE Ta2GaHRh, optimized geometry
# calculated total energy = -7.727 eV per atom
# symmetry = P4/mmm (123)
# DOS at the Fermi energy = 3.01 states/eV/cell
# volume = 13.47 Å³ per atom
data_Ta2GaHRh
_symmetry_space_group_name_H-M 'P 1'
_symmetry_Int_Tables_number 1
_symmetry_space_group_name_Hall 'P 1'
_cell_length_a 4.1098
_cell_length_b 4.1098
_cell_length_c 3.9860
_cell_angle_alpha 90.00
_cell_angle_beta 90.00
_cell_angle_gamma 90.00
loop_
_atom_site_label
_atom_site_fract_x
_atom_site_fract_y
_atom_site_fract_z
_atom_site_occupancy
Ta1 0.0000 0.5000 0.0000 1
Ta2 0.5000 0.0000 0.0000 1
Ga1 0.0000 0.0000 0.5000 1
H1 0.5000 0.5000 0.0000 1
Rh1 0.5000 0.5000 0.5000 1


Entry 15:
# PBE Sr3Nb5N12, optimized geometry
# uncorrected formation energy = -0.500 eV per atom
# symmetry = Ia-3d (230)
# DOS at the Fermi energy = 38.67 states/eV/cell
# volume = 15.31 Å³ per atom
data_Sr3Nb5N12
_symmetry_space_group_name_H-M 'P 1'
_symmetry_Int_Tables_number 1
_symmetry_space_group_name_Hall 'P 1'
_cell_length_a 11.6747
_cell_length_b 11.6747
_cell_length_c 11.6747
_cell_angle_alpha 109.47
_cell_angle_beta 109.47
_cell_angle_gamma 109.47
loop_
_atom_site_label
_atom_site_fract_x
_atom_site_fract_y
_atom_site_fract_z
_atom_site_occupancy
Sr1 0.1250 0.2500 0.3750 1
Sr2 0.1250 0.3750 0.7500 1
Sr3 0.2500 0.3750 0.1250 1
Sr4 0.2500 0.8750 0.6250 1
Sr5 0.3750 0.1250 0.2500 1
Sr6 0.3750 0.7500 0.1250 1
Sr7 0.6250 0.2500 0.8750 1
Sr8 0.6250 0.8750 0.7500 1
Sr9 0.7500 0.1250 0.3750 1
Sr10 0.7500 0.6250 0.8750 1
Sr11 0.8750 0.6250 0.2500 1
Sr12 0.8750 0.7500 0.6250 1
Nb1 0.0000 0.0000 0.0000 1
Nb2 0.0000 0.0000 0.5000 1
Nb3 0.0000 0.5000 0.0000 1
Nb4 0.0000 0.5000 0.5000 1
Nb5 0.1250 0.7500 0.8750 1
Nb6 0.1250 0.8750 0.2500 1
Nb7 0.2500 0.1250 0.8750 1
Nb8 0.2500 0.6250 0.3750 1
Nb9 0.3750 0.2500 0.6250 1
Nb10 0.3750 0.6250 0.7500 1
Nb11 0.5000 0.0000 0.0000 1
Nb12 0.5000 0.0000 0.5000 1
Nb13 0.5000 0.5000 0.0000 1
Nb14 0.5000 0.5000 0.5000 1
Nb15 0.6250 0.3750 0.2500 1
Nb16 0.6250 0.7500 0.3750 1
Nb17 0.7500 0.3750 0.6250 1
Nb18 0.7500 0.8750 0.1250 1
Nb19 0.8750 0.1250 0.7500 1
Nb20 0.8750 0.2500 0.1250 1
N1 0.0105 0.1911 0.1103 1
N2 0.0105 0.3194 0.9002 1
N3 0.0807 0.6911 0.6806 1
N4 0.0807 0.8897 0.4002 1
N5 0.0998 0.6103 0.4193 1
N6 0.0998 0.9895 0.6806 1
N7 0.1103 0.0105 0.1911 1
N8 0.1103 0.5998 0.9193 1
N9 0.1806 0.1911 0.5807 1
N10 0.1806 0.4895 0.5998 1
N11 0.1911 0.1103 0.0105 1
N12 0.1911 0.5807 0.1806 1
N13 0.3089 0.3194 0.9193 1
N14 0.3089 0.4895 0.3897 1
N15 0.3194 0.9002 0.0105 1
N16 0.3194 0.9193 0.3089 1
N17 0.3897 0.3089 0.4895 1
N18 0.3897 0.5807 0.9002 1
N19 0.4002 0.0807 0.8897 1
N20 0.4002 0.8194 0.5105 1
N21 0.4193 0.0998 0.6103 1
N22 0.4193 0.8194 0.8089 1
N23 0.4895 0.3897 0.3089 1
N24 0.4895 0.5998 0.1806 1
N25 0.5105 0.4002 0.8194 1
N26 0.5105 0.6103 0.6911 1
N27 0.5807 0.1806 0.1911 1
N28 0.5807 0.9002 0.3897 1
N29 0.5998 0.1806 0.4895 1
N30 0.5998 0.9193 0.1103 1
N31 0.6103 0.4193 0.0998 1
N32 0.6103 0.6911 0.5105 1
N33 0.6806 0.0807 0.6911 1
N34 0.6806 0.0998 0.9895 1
N35 0.6911 0.5105 0.6103 1
N36 0.6911 0.6806 0.0807 1
N37 0.8089 0.4193 0.8194 1
N38 0.8089 0.8897 0.9895 1
N39 0.8194 0.5105 0.4002 1
N40 0.8194 0.8089 0.4193 1
N41 0.8897 0.4002 0.0807 1
N42 0.8897 0.9895 0.8089 1
N43 0.9002 0.0105 0.3194 1
N44 0.9002 0.3897 0.5807 1
N45 0.9193 0.1103 0.5998 1
N46 0.9193 0.3089 0.3194 1
N47 0.9895 0.6806 0.0998 1
N48 0.9895 0.8089 0.8897 1